Record 1
Below is SrGa2Ag6 after structural relaxation, with properties calculated at the PBE level.

Unit cell a=4.3740 b=4.3740 c=9.5277 alpha=90.00 beta=90.00 gamma=90.00
Space group P4/mmm (No. 123)
Unique sites:
Sr (0.0000, 0.0000, 0.0000)
Ga (0.5000, 0.5000, 0.1371)
Ag (0.0000, 0.0000, 0.5000)
Ag (0.0000, 0.5000, 0.2951)
Ag (0.5000, 0.5000, 0.5000)

Summary:
Energy of formation from the pure elements (meV per atom): -161
Total energy (eV/cell): -26.30
Calculated volume (Å³ per cell): 182.3

=====

Record 2
Below is Fe2HW2 after structural relaxation, with properties calculated at the PBE level.

Unit cell a=6.7698 b=6.7698 c=2.8635 alpha=90.00 beta=90.00 gamma=90.00
Space group P4/mbm (No. 127)
Unique sites:
Fe (0.1298, 0.3702, 0.0000)
H (0.0000, 0.0000, 0.5000)
W (0.1699, 0.6699, 0.5000)

Summary:
Total energy (eV/cell): -84.80
Offset from the most stable computed form (meV per atom): 0
Calculated volume (Å³ per cell): 131.2

=====

Record 3
Below is KZn2Hg after structural relaxation, with properties calculated at the PBE level.

Unit cell a=5.0608 b=5.0608 c=8.3429 alpha=90.00 beta=90.00 gamma=90.00
Space group I-4m2 (No. 119)
Unique sites:
K (0.0000, 0.0000, 0.0000)
Zn (0.0000, 0.0000, 0.5000)
Zn (0.0000, 0.5000, 0.7500)
Hg (0.0000, 0.5000, 0.2500)

Summary:
Energy of formation from the pure elements (meV per atom): 133
Total energy (eV/cell): -6.83
Calculated volume (Å³ per cell): 213.7

=====

What did the first record say?
Below is SrGa2Ag6 after structural relaxation, with properties calculated at the PBE level.

Unit cell a=4.3740 b=4.3740 c=9.5277 alpha=90.00 beta=90.00 gamma=90.00
Space group P4/mmm (No. 123)
Unique sites:
Sr (0.0000, 0.0000, 0.0000)
Ga (0.5000, 0.5000, 0.1371)
Ag (0.0000, 0.0000, 0.5000)
Ag (0.0000, 0.5000, 0.2951)
Ag (0.5000, 0.5000, 0.5000)

Summary:
Energy of formation from the pure elements (meV per atom): -161
Total energy (eV/cell): -26.30
Calculated volume (Å³ per cell): 182.3